This record from Alexandria via LeMat-Bulk describes LiTcRuRh after structural relaxation. The functional is PBE.

Output
Mass density: 9.5 g/cm3
Total magnetization: 0.00 μB/f.u.
E_form: 0.067 eV/atom
SG: F-43m (216)
DOS(E_F): 4.12 states/eV per cell
Calculated volume: 54 Å³ per cell

a = 4.2499 Å, b = 4.2499 Å, c = 4.2499 Å
α = 60.00°, β = 60.00°, γ = 60.00°
Fractional coordinates of all 4 atoms:
Li 0.2500 0.2500 0.2500
Tc 0.7500 0.7500 0.7500
Rh 0.5000 0.5000 0.5000
Ru 0.0000 0.0000 0.0000


This record from Alexandria via LeMat-Bulk describes Pu3Te2O2 after structural relaxation. The functional is PBE.

Output
Mass density: 10.0 g/cm3
Total magnetization: 5.49 μB/f.u.
ΔE_f (raw): -1.913 eV/atom
SG: P2_1/c (14)
DOS(E_F): 61.46 states/eV per cell
Calculated volume: 338 Å³ per cell

a = 7.5875 Å, b = 7.2985 Å, c = 6.6523 Å
α = 90.00°, β = 66.51°, γ = 90.00°
Last column: magnetic moment on the atom in μB.
Fractional coordinates of all 14 atoms:
Pu 0.0000 0.0000 0.0000  5.07
Pu 0.7847 0.1367 0.5862  -5.22
Te 0.9168 0.6295 0.8063  0.02
O 0.0677 0.1076 0.6507  0.06
Pu 0.5000 0.5000 0.0000  5.07
O 0.9323 0.8924 0.3493  0.06
Pu 0.2847 0.3633 0.5862  -5.22
Pu 0.7153 0.6367 0.4138  -5.22
Pu 0.2153 0.8633 0.4138  -5.22
Te 0.0832 0.3705 0.1937  0.02
Te 0.4168 0.8705 0.8063  0.02
O 0.4323 0.6076 0.3493  0.06
O 0.5677 0.3924 0.6507  0.06
Te 0.5832 0.1295 0.1937  0.02


This record from Alexandria via LeMat-Bulk describes LiYTmIr after structural relaxation. The functional is PBE.

Output
Mass density: 9.2 g/cm3
Total magnetization: 0.00 μB/f.u.
E_form: -0.593 eV/atom
SG: F-43m (216)
DOS(E_F): 2.83 states/eV per cell
Calculated volume: 83 Å³ per cell

a = 4.8883 Å, b = 4.8883 Å, c = 4.8883 Å
α = 60.00°, β = 60.00°, γ = 60.00°
Fractional coordinates of all 4 atoms:
Y 0.7500 0.7500 0.7500
Tm 0.2500 0.2500 0.2500
Ir 0.5000 0.5000 0.5000
Li 0.0000 0.0000 0.0000


This record from Alexandria via LeMat-Bulk describes LiZn2Mo after structural relaxation. The functional is PBE.

Output
Energy relative to the lowest polymorph listed for this composition: 0.70 eV per formula unit
Mass density: 6.4 g/cm3
Total magnetization: 0.00 μB/f.u.
E_form: 0.161 eV/atom
SG: R3m (160)
DOS(E_F): 3.20 states/eV per cell
Calculated volume: 61 Å³ per cell

a = 9.5891 Å, b = 9.5891 Å, c = 9.5891 Å
α = 16.34°, β = 16.34°, γ = 16.34°
Fractional coordinates of all 4 atoms:
Li 0.5012 0.5012 0.5012
Zn 0.2495 0.2495 0.2495
Zn 0.0009 0.0009 0.0009
Mo 0.7484 0.7484 0.7484


This record from Alexandria via LeMat-Bulk describes BaCdHgAu2 after structural relaxation. The functional is PBE.

Output
Mass density: 10.4 g/cm3
Total magnetization: 0.00 μB/f.u.
E_form: -0.484 eV/atom
SG: I-4m2 (119)
DOS(E_F): 2.31 states/eV per cell
Calculated volume: 135 Å³ per cell

a = 4.5829 Å, b = 4.5829 Å, c = 7.1959 Å
α = 108.57°, β = 108.57°, γ = 90.00°
Fractional coordinates of all 5 atoms:
Au 0.3919 0.3919 0.7838
Hg 0.7500 0.2500 0.5000
Au 0.6081 0.6081 0.2162
Cd 0.2500 0.7500 0.5000
Ba 0.0000 0.0000 0.0000


This record from Alexandria via LeMat-Bulk describes ZnSnS3 after structural relaxation. The functional is PBE.

Output
Energy relative to the lowest polymorph listed for this composition: 0.72 eV per formula unit
Mass density: 4.4 g/cm3
Total magnetization: 0.00 μB/f.u.
ΔE_f (raw): -0.240 eV/atom
SG: P-6c2 (188)
DOS(E_F): 5.25 states/eV per cell
Calculated volume: 212 Å³ per cell

a = 6.2871 Å, b = 6.2334 Å, c = 6.2334 Å
α = 120.00°, β = 90.00°, γ = 90.00°
Fractional coordinates of all 10 atoms:
Zn 0.0000 0.6667 0.3333
S 0.2500 0.3370 0.0045
S 0.7500 0.3370 0.3325
S 0.7500 0.6675 0.0045
Sn 0.0000 0.0000 0.0000
S 0.7500 0.9955 0.6630
Sn 0.5000 0.0000 0.0000
Zn 0.5000 0.6667 0.3333
S 0.2500 0.9955 0.3325
S 0.2500 0.6675 0.6630


Question: calculated volume of number 4 (LiZn2Mo)?
Answer: 61 Å³ per cell